A PBEsol-optimized structure of HgSe2Br, computed with SCAN.

Structure (POSCAR):
```
HgSe2Br
1.0
3.7929 0.0000 0.0000
0.0000 3.7929 0.0000
0.0000 0.0000 8.0137
Hg Se Br
1 2 1
Direct
0.0000 0.0000 0.0000
0.0000 0.0000 0.3269
0.5000 0.5000 0.3563
0.5000 0.5000 0.8661
```

Values from the calculation:
Distance to the lowest polymorph of the same formula = 0 kJ/mol of formula units
DOS at the Fermi energy = 0.78 states/eV/cell
Space-group type = No. 99
Volume = 28.82 Å³/atom
DFT total energy = -31.97 eV per atom
Raw formation energy = -0.1 eV per formula unit

***

A PBEsol-optimized structure of Sn2HgSeBr, computed with SCAN.

Structure (POSCAR):
```
Sn2HgSeBr
1.0
5.5139 0.0000 0.0000
0.0000 5.5139 0.0000
0.0000 0.0000 5.4603
Sn Hg Se Br
2 1 1 1
Direct
0.0000 0.5000 0.0000
0.5000 0.0000 0.0000
0.0000 0.0000 0.5000
0.5000 0.5000 0.5000
0.0000 0.0000 0.0000
```

Values from the calculation:
DOS at the Fermi energy = 2.11 states/eV/cell
Space-group type = No. 123
Volume = 33.20 Å³/atom
DFT total energy = -35.24 eV per atom
Raw formation energy = 3.4 eV per formula unit

***

A PBEsol-optimized structure of HgWSe2Br, computed with SCAN.

Structure (POSCAR):
```
HgWSe2Br
1.0
4.8597 0.0000 0.0000
0.0000 4.8597 0.0000
0.0000 0.0000 5.1819
Hg W Se Br
1 1 2 1
Direct
0.0000 0.0000 0.0000
0.5000 0.5000 0.5000
0.0000 0.5000 0.5000
0.5000 0.0000 0.5000
0.5000 0.5000 0.0000
```

Values from the calculation:
DOS at the Fermi energy = 2.82 states/eV/cell
Space-group type = No. 123
Volume = 24.48 Å³/atom
DFT total energy = -39.31 eV per atom
Raw formation energy = 0.9 eV per formula unit

***

A PBEsol-optimized structure of ZnHgSe2Br, computed with SCAN.

Structure (POSCAR):
```
ZnHgSe2Br
1.0
4.6236 0.0000 0.0000
0.0000 4.6236 0.0000
0.0000 0.0000 6.1159
Zn Hg Se Br
1 1 2 1
Direct
0.0000 0.0000 0.0000
0.0000 0.0000 0.5000
0.0000 0.5000 0.0000
0.5000 0.0000 0.0000
0.5000 0.5000 0.5000
```

Values from the calculation:
DOS at the Fermi energy = 4.03 states/eV/cell
Space-group type = No. 123
Volume = 26.15 Å³/atom
DFT total energy = -27.98 eV per atom
Raw formation energy = 1.4 eV per formula unit

***

A PBEsol-optimized structure of ZrHgSe2Br, computed with SCAN.

Structure (POSCAR):
```
ZrHgSe2Br
1.0
5.1347 0.0000 0.0000
0.0000 5.1347 0.0000
0.0000 0.0000 5.1579
Zr Hg Se Br
1 1 2 1
Direct
0.0000 0.0000 0.0000
0.5000 0.5000 0.5000
0.0000 0.5000 0.5000
0.5000 0.0000 0.5000
0.5000 0.5000 0.0000
```

Values from the calculation:
Distance to the lowest polymorph of the same formula = 544 kJ/mol of formula units
DOS at the Fermi energy = 4.36 states/eV/cell
Space-group type = No. 123
Volume = 27.20 Å³/atom
DFT total energy = -31.30 eV per atom
Raw formation energy = 2.0 eV per formula unit

***

A PBEsol-optimized structure of ZrHgSe2Br, computed with SCAN.

Structure (POSCAR):
```
ZrHgSe2Br
1.0
5.1571 0.0000 0.0000
0.0000 5.1571 0.0000
0.0000 0.0000 5.3025
Zr Hg Se Br
1 1 2 1
Direct
0.0000 0.0000 0.0000
0.5000 0.5000 0.5000
0.0000 0.5000 0.0000
0.5000 0.0000 0.0000
0.0000 0.0000 0.5000
```

Values from the calculation:
Distance to the lowest polymorph of the same formula = 0 kJ/mol of formula units
DOS at the Fermi energy = 3.38 states/eV/cell
Space-group type = No. 123
Volume = 28.21 Å³/atom
DFT total energy = -32.43 eV per atom
Raw formation energy = -3.7 eV per formula unit

***

A PBEsol-optimized structure of SiHg2Br, computed with SCAN.

Structure (POSCAR):
```
SiHg2Br
1.0
3.4420 0.0000 0.0000
0.0000 3.4420 0.0000
0.0000 0.0000 7.4875
Si Hg Br
1 2 1
Direct
0.0000 0.0000 0.0000
0.5000 0.5000 0.2213
0.5000 0.5000 0.7787
0.0000 0.0000 0.5000
```

Values from the calculation:
Distance to the lowest polymorph of the same formula = 77 kJ/mol of formula units
DOS at the Fermi energy = 1.11 states/eV/cell
Space-group type = No. 123
Volume = 22.18 Å³/atom
DFT total energy = -41.13 eV per atom
Raw formation energy = 1.3 eV per formula unit

***

A PBEsol-optimized structure of SiHg2Br, computed with SCAN.

Structure (POSCAR):
```
SiHg2Br
1.0
5.1761 0.0000 0.0000
0.0000 3.6032 0.0000
-2.5645 0.0000 5.3437
Si Hg Br
1 2 1
Direct
0.0000 0.0000 0.0000
0.1883 0.5000 0.3749
0.8117 0.5000 0.6251
0.5000 0.0000 0.0000
```

Values from the calculation:
Distance to the lowest polymorph of the same formula = 0 kJ/mol of formula units
DOS at the Fermi energy = 1.18 states/eV/cell
Space-group type = No. 10
Volume = 24.92 Å³/atom
DFT total energy = -41.33 eV per atom
Raw formation energy = 0.5 eV per formula unit